# Re2MoIr, relaxed, DFT PBE
data_Re2MoIr
_chemical_formula_sum 'Re4 Mo2 Ir2'
_space_group_name_H-M_alt 'I 4/m m m'
_space_group_IT_number 139
_space_group_name_Hall '-I 4 2'
_cell_length_a 3.898
_cell_length_b 3.898
_cell_length_c 7.917
_cell_angle_alpha 90.00
_cell_angle_beta 90.00
_cell_angle_gamma 90.00
loop_
_atom_site_label
_atom_site_fract_x
_atom_site_fract_y
_atom_site_fract_z
Re1 0.000 0.500 0.250
Mo1 0.000 0.000 0.000
Ir1 0.000 0.000 0.500
# Crystal system   tetragonal
# ΔH_f (0 K)   -0.06 eV/atom
# Energy above the most stable polymorph in this dataset   0.070 eV/atom
# VASP energy   -11.203 eV/atom